1.
The following is a PBE calculation of crystalline ZrSiAsO at its relaxed geometry, from OQMD via LeMat-Bulk.

Total moment (μB per cell): 0.01
Relative energy among the computed polymorphs (kcal/mol of atoms): 17.93
E (eV/f.u.): -25.42

a b c (Å): 4.350 4.350 7.074
angles (deg): 90.00 90.00 90.00
Fractional coordinates of all 8 atoms:
1 Si 0.500 0.000 0.063
2 Si 0.000 0.500 0.937
3 Zr 0.000 0.000 0.500
4 Zr 0.500 0.500 0.500
5 As 0.000 0.500 0.285
6 As 0.500 0.000 0.715
7 O 0.500 0.500 0.000
8 O 0.000 0.000 0.000

***

2.
The following is a PBE calculation of crystalline ZrSiAsO at its relaxed geometry, from OQMD via LeMat-Bulk.

Total moment (μB per cell): 0.02
Relative energy among the computed polymorphs (kcal/mol of atoms): 0.00
E (eV/f.u.): -28.53

a b c (Å): 3.544 3.544 10.204
angles (deg): 90.00 90.00 90.00
Fractional coordinates of all 8 atoms:
1 Zr 0.500 0.000 0.124
2 Zr 0.000 0.500 0.876
3 Si 0.000 0.000 0.500
4 Si 0.500 0.500 0.500
5 O 0.000 0.000 0.000
6 O 0.500 0.500 0.000
7 As 0.500 0.000 0.730
8 As 0.000 0.500 0.270

***

3.
The following is a PBE calculation of crystalline ZrSiAsO at its relaxed geometry, from OQMD via LeMat-Bulk.

Total moment (μB per cell): 0.00
Relative energy among the computed polymorphs (kcal/mol of atoms): 18.11
E (eV/f.u.): -25.39

a b c (Å): 4.265 4.265 7.346
angles (deg): 90.00 90.00 90.00
Fractional coordinates of all 8 atoms:
1 Zr 0.250 0.750 0.500
2 Zr 0.750 0.250 0.500
3 Si 0.250 0.250 0.060
4 Si 0.750 0.750 0.940
5 O 0.750 0.250 0.000
6 O 0.250 0.750 0.000
7 As 0.250 0.250 0.718
8 As 0.750 0.750 0.282

***

4.
The following is a PBE calculation of crystalline Sm2As2O5 at its relaxed geometry, from OQMD via LeMat-Bulk.

Total moment (μB per cell): 0.03
Relative energy among the computed polymorphs (kcal/mol of atoms): 0.00
E (eV/f.u.): -58.97

a b c (Å): 6.917 4.128 4.128
angles (deg): 90.00 90.00 90.00
Fractional coordinates of all 9 atoms:
1 Sm 0.000 0.000 0.000
2 Sm 0.500 0.000 0.000
3 O 0.763 0.000 0.500
4 O 0.500 0.500 0.500
5 O 0.763 0.500 0.000
6 O 0.237 0.500 0.000
7 O 0.237 0.000 0.500
8 As 0.212 0.500 0.500
9 As 0.788 0.500 0.500